[1]
# BaHgIr4 PBE relaxed
# Total DFT energy (no corrections): -0.2195 hartree per atom
# Formation energy: 0.307 eV per atom
data_BaHgIr4
_symmetry_space_group_name_H-M 'F -4 3 m'
_symmetry_Int_Tables_number 216
_symmetry_space_group_name_Hall 'F -4 2 3'
_cell_length_a 7.746
_cell_length_b 7.746
_cell_length_c 7.746
_cell_angle_alpha 90.00
_cell_angle_beta 90.00
_cell_angle_gamma 90.00
loop_
_atom_site_label
_atom_site_type_symbol
_atom_site_fract_x
_atom_site_fract_y
_atom_site_fract_z
_atom_site_occupancy
Ba1 Ba 0.000 0.000 0.000 1
Hg1 Hg 0.250 0.250 0.750 1
Ir1 Ir 0.125 0.125 0.375 1

[2]
# Ba2HgIr PBE relaxed
# Total DFT energy (no corrections): -0.1162 hartree per atom
# Formation energy: 0.089 eV per atom
data_Ba2HgIr
_symmetry_space_group_name_H-M 'P 4 m m'
_symmetry_Int_Tables_number 99
_cell_length_a 4.731
_cell_length_b 4.731
_cell_length_c 6.515
_cell_angle_alpha 90.00
_cell_angle_beta 90.00
_cell_angle_gamma 90.00
loop_
_symmetry_equiv_pos_as_xyz
'x,y,z'
'-y,x,z'
'-x,-y,z'
'y,-x,z'
'-x,y,z'
'y,x,z'
'x,-y,z'
'-y,-x,z'
loop_
_atom_site_label
_atom_site_type_symbol
_atom_site_fract_x
_atom_site_fract_y
_atom_site_fract_z
_atom_site_occupancy
Ba1 Ba 0.000 0.000 0.000 1
Ba2 Ba 0.500 0.500 0.500 1
Hg1 Hg 0.000 0.000 0.500 1
Ir1 Ir 0.500 0.500 0.999 1